# VAgSnF6 | Alexandria | PBE with a Hubbard U | relaxed
# D(E_F), states/eV per cell: 0.00
# Total magnetic moment, Bohr magnetons per cell: 1.997
# E, eV for the cell shown: -45.917
data_VAgSnF6
_symmetry_space_group_name_H-M 'P 1'
_symmetry_Int_Tables_number 1
_symmetry_space_group_name_Hall 'P 1'
_cell_length_a 4.9882
_cell_length_b 5.1003
_cell_length_c 5.8581
_cell_angle_alpha 106.20
_cell_angle_beta 104.50
_cell_angle_gamma 92.74
loop_
_atom_site_label
_atom_site_type_symbol
_atom_site_fract_x
_atom_site_fract_y
_atom_site_fract_z
V1 V 0.0000 0.0000 0.0000
Ag1 Ag 0.6227 0.6288 0.3623
Sn1 Sn 0.4068 0.3995 0.6649
F1 F 0.0968 0.7159 0.7356
F2 F 0.2741 0.2824 0.9461
F3 F 0.2779 0.9222 0.2600
F4 F 0.7068 0.7001 0.9939
F5 F 0.7117 0.0838 0.7367
F6 F 0.9104 0.2746 0.2620